VASP calculation (PBE) on crystalline ReSiSn2 at its relaxed geometry.

Summary:
Energy relative to the elements, uncorrected: 24.70 kcal/mol of atoms
Magnetization: 0.2709 μB per atom

Lattice parameters (Å, degrees): 6.1612 6.1612 7.4336 65.52 65.52 90.00
Positions (direct):
Sn 0.8750 0.8757 0.7500
Re 0.0000 0.0000 0.0000
Re 0.7500 0.2500 0.5000
Si 0.5000 0.5000 0.0000
Sn 0.1243 0.6250 0.2500
Sn 0.6257 0.1250 0.2500
Sn 0.3750 0.3743 0.7500
Si 0.2500 0.7500 0.5000